# SrTmNO | the Open Quantum Materials Database | PBE-GGA | relaxed
# **Final energy**: -7.01 eV/atom
# **Polymorph energy (0 for the lowest one)**: 0 meV/atom
data_SrTmNO
_chemical_formula_sum 'Sr4 Tm4 N4 O4'
_symmetry_space_group_name_H-M 'P 1'
_symmetry_Int_Tables_number 1
_cell_length_a 7.0421
_cell_length_b 8.2201
_cell_length_c 4.9806
_cell_angle_alpha 90.00
_cell_angle_beta 90.00
_cell_angle_gamma 90.00
loop_
_symmetry_equiv_pos_as_xyz
'x,y,z'
loop_
_atom_site_label
_atom_site_type_symbol
_atom_site_fract_x
_atom_site_fract_y
_atom_site_fract_z
_atom_site_occupancy
Sr1 Sr 0.0838 0.1335 0.0000 1
Sr2 Sr 0.4162 0.1335 0.5000 1
Sr3 Sr 0.5838 0.8665 0.0000 1
Sr4 Sr 0.9162 0.8665 0.5000 1
Tm1 Tm 0.0875 0.6150 0.9925 1
Tm2 Tm 0.4125 0.6150 0.4925 1
Tm3 Tm 0.5875 0.3850 0.9925 1
Tm4 Tm 0.9125 0.3850 0.4925 1
N1 N 0.0949 0.6073 0.5194 1
N2 N 0.4051 0.6073 0.0194 1
N3 N 0.5949 0.3927 0.5194 1
N4 N 0.9051 0.3927 0.0194 1
O1 O 0.0615 0.1458 0.5032 1
O2 O 0.4385 0.1458 0.0032 1
O3 O 0.5615 0.8542 0.5032 1
O4 O 0.9385 0.8542 0.0032 1